[1]
Below is a relaxed structure of SmDySn, with properties calculated at the PBE-GGA level.

Crystal system = tetragonal
Final energy = -30.17 eV/cell
E above lowest polymorph = 18 meV per atom
Formation enthalpy at 0 K = -0.59 eV/atom
Fermi-level density of states = 1.16 states/eV per atom
Total magnetic moment = 0.0 μB per formula unit

```
data_SmDySn
_chemical_formula_sum 'Sm2 Dy2 Sn2'
_symmetry_space_group_name_H-M 'P 4/n m m'
_symmetry_Int_Tables_number 129
_cell_length_a 4.5735
_cell_length_b 4.5735
_cell_length_c 8.6027
_cell_angle_alpha 90.00
_cell_angle_beta 90.00
_cell_angle_gamma 90.00
loop_
_symmetry_equiv_pos_as_xyz
'x,y,z'
'-x,-y,-z'
'-y+1/2,x,z'
'y+1/2,-x,-z'
'-x+1/2,-y+1/2,z'
'x+1/2,y+1/2,-z'
'y,-x+1/2,z'
'-y,x+1/2,-z'
'x+1/2,-y,-z'
'-x+1/2,y,z'
'-y,-x,-z'
'y,x,z'
'-x,y+1/2,-z'
'x,-y+1/2,z'
'y+1/2,x+1/2,-z'
'-y+1/2,-x+1/2,z'
loop_
_atom_site_label
_atom_site_fract_x
_atom_site_fract_y
_atom_site_fract_z
Sm1 0.2500 0.2500 0.1523
Dy1 0.2500 0.7500 0.5000
Sn1 0.2500 0.2500 0.7756
```

***

[2]
Below is a relaxed structure of SmDySn, with properties calculated at the PBE-GGA level.

Crystal system = tetragonal
Final energy = -25.88 eV/cell
E above lowest polymorph = 733 meV per atom
Formation enthalpy at 0 K = 0.13 eV/atom
Fermi-level density of states = 1.45 states/eV per atom
Total magnetic moment = 0.0 μB per formula unit

```
data_SmDySn
_chemical_formula_sum 'Sm2 Dy2 Sn2'
_symmetry_space_group_name_H-M 'I 4 m m'
_symmetry_Int_Tables_number 107
_symmetry_space_group_name_Hall 'I 4 -2'
_cell_length_a 3.3500
_cell_length_b 3.3500
_cell_length_c 17.5094
_cell_angle_alpha 90.00
_cell_angle_beta 90.00
_cell_angle_gamma 90.00
loop_
_atom_site_label
_atom_site_fract_x
_atom_site_fract_y
_atom_site_fract_z
Sm1 0.0000 0.0000 0.0000
Dy1 0.0000 0.0000 0.8033
Sn1 0.0000 0.0000 0.1782
```

***

[3]
Below is a relaxed structure of SmDySn2, with properties calculated at the PBE-GGA level.

Crystal system = orthorhombic
Final energy = -40.64 eV/cell
Formation enthalpy at 0 K = -0.75 eV/atom
Fermi-level density of states = 0.72 states/eV per atom
Total magnetic moment = 0.0 μB per formula unit

```
data_SmDySn2
_chemical_formula_sum 'Sm2 Dy2 Sn4'
_symmetry_space_group_name_H-M 'A m m 2'
_symmetry_Int_Tables_number 38
_cell_length_a 4.3341
_cell_length_b 4.5462
_cell_length_c 11.5253
_cell_angle_alpha 90.00
_cell_angle_beta 90.00
_cell_angle_gamma 90.00
loop_
_symmetry_equiv_pos_as_xyz
'x,y,z'
'-x,-y,z'
'-x,y,z'
'x,-y,z'
'x,y+1/2,z+1/2'
'-x,-y+1/2,z+1/2'
'-x,y+1/2,z+1/2'
'x,-y+1/2,z+1/2'
loop_
_atom_site_label
_atom_site_fract_x
_atom_site_fract_y
_atom_site_fract_z
Sm1 0.0000 0.0000 0.0000
Dy1 0.5000 0.0000 0.7308
Sn1 0.0000 0.0000 0.2729
Sn2 0.5000 0.0000 0.4575
```

***

[4]
Below is a relaxed structure of SmDySn, with properties calculated at the PBE-GGA level.

Crystal system = trigonal
Final energy = -14.41 eV/cell
E above lowest polymorph = 243 meV per atom
Formation enthalpy at 0 K = -0.36 eV/atom
Fermi-level density of states = 0.77 states/eV per atom
Total magnetic moment = 0.0 μB per formula unit

```
data_SmDySn
_chemical_formula_sum 'Sm1 Dy1 Sn1'
_symmetry_space_group_name_H-M 'P 3 m 1'
_symmetry_Int_Tables_number 156
_cell_length_a 5.1298
_cell_length_b 5.1298
_cell_length_c 3.9177
_cell_angle_alpha 90.00
_cell_angle_beta 90.00
_cell_angle_gamma 120.00
loop_
_symmetry_equiv_pos_as_xyz
'x,y,z'
'-y,x-y,z'
'-x+y,-x,z'
'-y,-x,z'
'-x+y,y,z'
'x,x-y,z'
loop_
_atom_site_label
_atom_site_fract_x
_atom_site_fract_y
_atom_site_fract_z
Sm1 0.0000 0.0000 0.0000
Dy1 0.6667 0.3333 0.5563
Sn1 0.3333 0.6667 0.3259
```

***

[5]
Below is a relaxed structure of Sm3DySn, with properties calculated at the PBE-GGA level.

Crystal system = orthorhombic
Final energy = -89.56 eV/cell
Formation enthalpy at 0 K = 0.07 eV/atom
Fermi-level density of states = 1.33 states/eV per atom
Total magnetic moment = 0.0 μB per formula unit

```
data_Sm3DySn
_chemical_formula_sum 'Sm12 Dy4 Sn4'
_symmetry_space_group_name_H-M 'I m a 2'
_symmetry_Int_Tables_number 46
_cell_length_a 11.3682
_cell_length_b 8.4128
_cell_length_c 6.9188
_cell_angle_alpha 90.00
_cell_angle_beta 90.00
_cell_angle_gamma 90.00
loop_
_symmetry_equiv_pos_as_xyz
'x,y,z'
'-x,-y,z'
'-x+1/2,y,z'
'x+1/2,-y,z'
'x+1/2,y+1/2,z+1/2'
'-x+1/2,-y+1/2,z+1/2'
'-x,y+1/2,z+1/2'
'x,-y+1/2,z+1/2'
loop_
_atom_site_label
_atom_site_fract_x
_atom_site_fract_y
_atom_site_fract_z
Sm1 0.0280 0.2412 0.0000
Sm2 0.2500 0.0727 0.2283
Dy1 0.2500 0.7464 0.9400
Sn1 0.2500 0.0607 0.7212
```

***

[6]
Below is a relaxed structure of Sm8DySn2, with properties calculated at the PBE-GGA level.

Crystal system = monoclinic
Final energy = -104.55 eV/cell
Formation enthalpy at 0 K = -0.17 eV/atom
Fermi-level density of states = 1.35 states/eV per atom
Total magnetic moment = 0.0 μB per formula unit

```
data_Sm8DySn2
_chemical_formula_sum 'Sm16 Dy2 Sn4'
_symmetry_space_group_name_H-M 'C 1 2/m 1'
_symmetry_Int_Tables_number 12
_cell_length_a 16.5104
_cell_length_b 6.8196
_cell_length_c 6.3815
_cell_angle_alpha 90.00
_cell_angle_beta 94.81
_cell_angle_gamma 90.00
loop_
_symmetry_equiv_pos_as_xyz
'x,y,z'
'-x,-y,-z'
'-x,y,-z'
'x,-y,z'
'x+1/2,y+1/2,z'
'-x+1/2,-y+1/2,-z'
'-x+1/2,y+1/2,-z'
'x+1/2,-y+1/2,z'
loop_
_atom_site_label
_atom_site_fract_x
_atom_site_fract_y
_atom_site_fract_z
Sm1 0.0834 0.0000 0.3958
Sm2 0.0990 0.2453 0.9044
Sm3 0.2112 0.5000 0.3340
Dy1 0.0000 0.5000 0.5000
Sn1 0.2439 0.0000 0.1681
```

***

What did the sixth record say?
Below is a relaxed structure of Sm8DySn2, with properties calculated at the PBE-GGA level.

Crystal system = monoclinic
Final energy = -104.55 eV/cell
Formation enthalpy at 0 K = -0.17 eV/atom
Fermi-level density of states = 1.35 states/eV per atom
Total magnetic moment = 0.0 μB per formula unit

```
data_Sm8DySn2
_chemical_formula_sum 'Sm16 Dy2 Sn4'
_symmetry_space_group_name_H-M 'C 1 2/m 1'
_symmetry_Int_Tables_number 12
_cell_length_a 16.5104
_cell_length_b 6.8196
_cell_length_c 6.3815
_cell_angle_alpha 90.00
_cell_angle_beta 94.81
_cell_angle_gamma 90.00
loop_
_symmetry_equiv_pos_as_xyz
'x,y,z'
'-x,-y,-z'
'-x,y,-z'
'x,-y,z'
'x+1/2,y+1/2,z'
'-x+1/2,-y+1/2,-z'
'-x+1/2,y+1/2,-z'
'x+1/2,-y+1/2,z'
loop_
_atom_site_label
_atom_site_fract_x
_atom_site_fract_y
_atom_site_fract_z
Sm1 0.0834 0.0000 0.3958
Sm2 0.0990 0.2453 0.9044
Sm3 0.2112 0.5000 0.3340
Dy1 0.0000 0.5000 0.5000
Sn1 0.2439 0.0000 0.1681
```